1.
LiYCoPb PBE-GGA optimized geometry; space group = F-43m, No. 216; DFT total energy = -0.18367 Ha/atom
1.0
0.0000 3.3351 3.3351
3.3351 0.0000 3.3351
3.3351 3.3351 0.0000
Li Y Co Pb
1 1 1 1
Cartesian
0.0000 0.0000 0.0000
5.0026 5.0026 5.0026
3.3351 3.3351 3.3351
1.6675 1.6675 1.6675



2.
Er3AsP2 PBE-GGA optimized geometry; space group = P-3m1, No. 164; DFT total energy = -0.23660 Ha/atom
1.0
4.0030 0.0000 0.0000
-2.0015 3.4667 0.0000
0.0000 0.0000 9.8148
Er As P
3 1 2
Cartesian
0.0000 0.0000 0.0000
0.0000 2.3111 6.6042
2.0015 1.1556 3.2106
0.0000 0.0000 4.9074
0.0000 2.3111 1.6128
2.0015 1.1556 8.2021



3.
HfNiBAu PBE-GGA optimized geometry; space group = F-43m, No. 216; DFT total energy = -0.23151 Ha/atom
1.0
0.0000 3.0187 3.0187
3.0187 0.0000 3.0187
3.0187 3.0187 0.0000
Hf Ni B Au
1 1 1 1
Cartesian
0.0000 0.0000 0.0000
4.5280 4.5280 4.5280
1.5093 1.5093 1.5093
3.0187 3.0187 3.0187



4.
FeGe2Pt PBE-GGA optimized geometry; space group = F-43m, No. 216; DFT total energy = -0.21084 Ha/atom
1.0
0.0000 3.1605 3.1605
3.1605 0.0000 3.1605
3.1605 3.1605 0.0000
Fe Ge Pt
1 2 1
Cartesian
0.0000 0.0000 0.0000
1.5803 1.5803 1.5803
3.1605 3.1605 3.1605
4.7408 4.7408 4.7408